Compound: KMnPt2
Source: the Alexandria database
Functional: PBE-GGA
Structure: relaxed

extended XYZ file:
```
4
Lattice="-3.973 2.536 0.432 -2.770 -0.568 3.796 -0.281 3.422 3.258" Properties=species:S:1:pos:R:3 pbc="T T T"
Mn -5.267 4.043 5.614
Pt 0.000 0.000 0.000
K -3.512 2.695 3.743
Pt -1.756 1.348 1.871
```

Calculated values
- N(E_F): 0.444 states/eV/atom
- Formation enthalpy at 0 K: 1.746 eV per formula unit
- Crystal system: cubic
- M_tot: 4.6 μB per formula unit
- Final energy: -5.15 eV/atom